# Ag3SbS4 PBE optimized geometry
data_Ag3SbS4
_chemical_formula_sum 'Ag6 Sb2 S8'
_space_group_name_H-M_alt 'P 1'
_space_group_IT_number 1
_cell_length_a 8.156
_cell_length_b 7.158
_cell_length_c 6.806
_cell_angle_alpha 90.00
_cell_angle_beta 90.00
_cell_angle_gamma 90.00
loop_
_space_group_symop_operation_xyz
'x,y,z'
loop_
_atom_site_label
_atom_site_type_symbol
_atom_site_fract_x
_atom_site_fract_y
_atom_site_fract_z
Ag1 Ag 0.000 0.154 0.000
Ag2 Ag 0.245 0.324 0.486
Ag3 Ag 0.255 0.676 0.986
Ag4 Ag 0.500 0.846 0.500
Ag5 Ag 0.745 0.676 0.986
Ag6 Ag 0.755 0.324 0.486
Sb1 Sb 0.000 0.826 0.496
Sb2 Sb 0.500 0.174 0.996
S1 S 0.000 0.139 0.621
S2 S 0.000 0.822 0.144
S3 S 0.241 0.664 0.612
S4 S 0.259 0.336 0.112
S5 S 0.500 0.178 0.644
S6 S 0.500 0.861 0.121
S7 S 0.741 0.336 0.112
S8 S 0.759 0.664 0.612
# Spin magnetization (μB per atom): 0.000
# Space-group type: Pmn2_1
# Energy relative to the lowest polymorph listed for this composition (eV/atom): 0.000